# 1
# Mg2H2Ir (PBE, optimized geometry)
data_Mg2H2Ir
_space_group_name_H-M_alt 'P 1'
_space_group_IT_number 1
_space_group_name_Hall 'P 1'
_cell_length_a 4.565
_cell_length_b 4.637
_cell_length_c 7.203
_cell_angle_alpha 71.34
_cell_angle_beta 90.25
_cell_angle_gamma 59.29
loop_
_atom_site_label
_atom_site_type_symbol
_atom_site_fract_x
_atom_site_fract_y
_atom_site_fract_z
H1 H 0.028 0.216 0.459
H2 H 0.509 0.365 0.719
H3 H 0.021 0.739 0.460
H4 H 0.516 0.842 0.718
Mg1 Mg 0.149 0.554 0.182
Mg2 Mg 0.964 0.877 0.722
Mg3 Mg 0.386 0.029 0.994
Mg4 Mg 0.572 0.705 0.455
Ir1 Ir 0.868 0.146 0.281
Ir2 Ir 0.668 0.436 0.897
# mass density = 6.64 g/cm³
# N(E_F) = 1.49 states/eV/f.u.
# space-group type = P1, No. 1

# 2
# MgH2Ir3 (PBE, optimized geometry)
data_MgH2Ir3
_space_group_name_H-M_alt 'P 1'
_space_group_IT_number 1
_space_group_name_Hall 'P 1'
_cell_length_a 4.959
_cell_length_b 2.834
_cell_length_c 4.834
_cell_angle_alpha 90.00
_cell_angle_beta 89.66
_cell_angle_gamma 90.01
loop_
_atom_site_label
_atom_site_type_symbol
_atom_site_fract_x
_atom_site_fract_y
_atom_site_fract_z
Ir1 Ir 0.518 0.999 0.396
Ir2 Ir 0.183 0.999 0.904
Ir3 Ir 0.072 0.499 0.358
H1 H 0.043 0.499 0.730
H2 H 0.723 0.499 0.496
Mg1 Mg 0.664 0.499 0.925
# mass density = 14.74 g/cm³
# N(E_F) = 3.60 states/eV/f.u.
# space-group type = Pm, No. 6

# 3
# Mg2H4Ir3 (PBE, optimized geometry)
data_Mg2H4Ir3
_space_group_name_H-M_alt 'P 1'
_space_group_IT_number 1
_space_group_name_Hall 'P 1'
_cell_length_a 5.421
_cell_length_b 4.839
_cell_length_c 4.569
_cell_angle_alpha 70.14
_cell_angle_beta 79.91
_cell_angle_gamma 65.24
loop_
_atom_site_label
_atom_site_type_symbol
_atom_site_fract_x
_atom_site_fract_y
_atom_site_fract_z
Mg1 Mg 0.586 0.212 0.983
Mg2 Mg 0.072 0.903 0.414
H1 H 0.391 0.214 0.513
H2 H 0.508 0.678 0.383
H3 H 0.267 0.900 0.886
H4 H 0.150 0.435 0.017
Ir1 Ir 0.073 0.311 0.730
Ir2 Ir 0.585 0.803 0.669
Ir3 Ir 0.829 0.557 0.200
# mass density = 10.22 g/cm³
# N(E_F) = 2.78 states/eV/f.u.
# space-group type = P1, No. 1

# 4
# MgHIr (PBE, optimized geometry)
data_MgHIr
_space_group_name_H-M_alt 'P 1'
_space_group_IT_number 1
_space_group_name_Hall 'P 1'
_cell_length_a 4.606
_cell_length_b 4.606
_cell_length_c 5.590
_cell_angle_alpha 89.06
_cell_angle_beta 89.06
_cell_angle_gamma 59.25
loop_
_atom_site_label
_atom_site_type_symbol
_atom_site_fract_x
_atom_site_fract_y
_atom_site_fract_z
H1 H 0.779 0.276 0.930
H2 H 0.612 0.612 0.584
H3 H 0.276 0.779 0.930
Mg1 Mg 0.782 0.782 0.928
Mg2 Mg 0.113 0.113 0.586
Mg3 Mg 0.455 0.455 0.260
Ir1 Ir 0.423 0.423 0.748
Ir2 Ir 0.796 0.796 0.416
Ir3 Ir 0.132 0.132 0.109
# mass density = 10.63 g/cm³
# N(E_F) = 0.52 states/eV/f.u.
# space-group type = Cm, No. 8

# 5
# MgH6Ir (PBE, optimized geometry)
data_MgH6Ir
_space_group_name_H-M_alt 'P 1'
_space_group_IT_number 1
_space_group_name_Hall 'P 1'
_cell_length_a 3.586
_cell_length_b 5.837
_cell_length_c 3.335
_cell_angle_alpha 89.95
_cell_angle_beta 89.32
_cell_angle_gamma 90.18
loop_
_atom_site_label
_atom_site_type_symbol
_atom_site_fract_x
_atom_site_fract_y
_atom_site_fract_z
H1 H 0.228 0.980 0.454
H2 H 0.642 0.714 0.020
H3 H 0.818 0.715 0.887
H4 H 0.230 0.557 0.453
H5 H 0.729 0.335 0.454
H6 H 0.229 0.372 0.953
Ir1 Ir 0.229 0.276 0.454
Mg1 Mg 0.727 0.077 0.954
# mass density = 5.29 g/cm³
# N(E_F) = 1.35 states/eV/f.u.
# space-group type = P1, No. 1

# 6
# MgH2Ir (PBE, optimized geometry)
data_MgH2Ir
_space_group_name_H-M_alt 'P 1'
_space_group_IT_number 1
_space_group_name_Hall 'P 1'
_cell_length_a 3.772
_cell_length_b 3.772
_cell_length_c 3.772
_cell_angle_alpha 60.00
_cell_angle_beta 60.00
_cell_angle_gamma 60.00
loop_
_atom_site_label
_atom_site_type_symbol
_atom_site_fract_x
_atom_site_fract_y
_atom_site_fract_z
Ir1 Ir 0.500 0.500 0.500
H1 H 0.250 0.250 0.250
H2 H 0.750 0.750 0.750
Mg1 Mg 0.000 0.000 0.000
# mass density = 9.56 g/cm³
# N(E_F) = 1.12 states/eV/f.u.
# space-group type = Fm-3m, No. 225

# 7
# MgH2Ir4 (PBE, optimized geometry)
data_MgH2Ir4
_space_group_name_H-M_alt 'P 1'
_space_group_IT_number 1
_space_group_name_Hall 'P 1'
_cell_length_a 4.934
_cell_length_b 4.395
_cell_length_c 4.935
_cell_angle_alpha 65.91
_cell_angle_beta 112.60
_cell_angle_gamma 114.09
loop_
_atom_site_label
_atom_site_type_symbol
_atom_site_fract_x
_atom_site_fract_y
_atom_site_fract_z
Mg1 Mg 0.001 0.661 0.763
H1 H 0.775 0.101 0.988
H2 H 0.056 0.210 0.707
Ir1 Ir 0.542 0.591 0.221
Ir2 Ir 0.369 0.930 0.394
Ir3 Ir 0.448 0.260 0.813
Ir4 Ir 0.950 0.260 0.316
# mass density = 15.34 g/cm³
# N(E_F) = 2.58 states/eV/f.u.
# space-group type = Cm, No. 8

# 8
# Mg5H2Ir3 (PBE, optimized geometry)
data_Mg5H2Ir3
_space_group_name_H-M_alt 'P 1'
_space_group_IT_number 1
_space_group_name_Hall 'P 1'
_cell_length_a 6.928
_cell_length_b 4.495
_cell_length_c 4.452
_cell_angle_alpha 90.01
_cell_angle_beta 90.00
_cell_angle_gamma 89.84
loop_
_atom_site_label
_atom_site_type_symbol
_atom_site_fract_x
_atom_site_fract_y
_atom_site_fract_z
Mg1 Mg 0.417 0.355 0.029
Mg2 Mg 0.426 0.857 0.529
Mg3 Mg 0.850 0.854 0.529
Mg4 Mg 0.858 0.355 0.029
Mg5 Mg 0.134 0.867 0.029
H1 H 0.382 0.355 0.529
H2 H 0.135 0.714 0.527
Ir1 Ir 0.642 0.355 0.529
Ir2 Ir 0.636 0.854 0.029
Ir3 Ir 0.125 0.346 0.529
# mass density = 8.39 g/cm³
# N(E_F) = 3.51 states/eV/f.u.
# space-group type = P1, No. 1

# 9
# Mg5H2Ir2 (PBE, optimized geometry)
data_Mg5H2Ir2
_space_group_name_H-M_alt 'P 1'
_space_group_IT_number 1
_space_group_name_Hall 'P 1'
_cell_length_a 4.507
_cell_length_b 7.677
_cell_length_c 4.744
_cell_angle_alpha 109.72
_cell_angle_beta 118.36
_cell_angle_gamma 90.00
loop_
_atom_site_label
_atom_site_type_symbol
_atom_site_fract_x
_atom_site_fract_y
_atom_site_fract_z
Mg1 Mg 0.916 0.636 0.846
Mg2 Mg 0.539 0.452 0.093
Mg3 Mg 0.773 0.228 0.560
Mg4 Mg 0.023 0.041 0.060
Mg5 Mg 0.284 0.844 0.581
H1 H 0.281 0.261 0.576
H2 H 0.404 0.642 0.822
Ir1 Ir 0.199 0.428 0.412
Ir2 Ir 0.608 0.848 0.231
# mass density = 6.32 g/cm³
# N(E_F) = 2.55 states/eV/f.u.
# space-group type = Cm, No. 8

# 10
# MgH3Ir2 (PBE, optimized geometry)
data_MgH3Ir2
_space_group_name_H-M_alt 'P 1'
_space_group_IT_number 1
_space_group_name_Hall 'P 1'
_cell_length_a 5.443
_cell_length_b 4.104
_cell_length_c 2.767
_cell_angle_alpha 90.00
_cell_angle_beta 75.23
_cell_angle_gamma 90.01
loop_
_atom_site_label
_atom_site_type_symbol
_atom_site_fract_x
_atom_site_fract_y
_atom_site_fract_z
Ir1 Ir 0.371 0.890 0.621
Ir2 Ir 0.131 0.390 0.242
H1 H 0.580 0.890 0.017
H2 H 0.921 0.102 0.347
H3 H 0.921 0.678 0.347
Mg1 Mg 0.675 0.390 0.971
# mass density = 11.44 g/cm³
# N(E_F) = 2.69 states/eV/f.u.
# space-group type = Amm2, No. 38

# 11
# MgH3Ir2 (PBE, optimized geometry)
data_MgH3Ir2
_space_group_name_H-M_alt 'P 1'
_space_group_IT_number 1
_space_group_name_Hall 'P 1'
_cell_length_a 4.780
_cell_length_b 5.170
_cell_length_c 2.807
_cell_angle_alpha 105.77
_cell_angle_beta 90.00
_cell_angle_gamma 66.06
loop_
_atom_site_label
_atom_site_type_symbol
_atom_site_fract_x
_atom_site_fract_y
_atom_site_fract_z
H1 H 0.436 0.661 0.554
H2 H 0.739 0.465 0.956
H3 H 0.514 0.205 0.327
Ir1 Ir 0.051 0.871 0.660
Ir2 Ir 0.596 0.841 0.144
Mg1 Mg 0.196 0.359 0.904
# mass density = 11.30 g/cm³
# N(E_F) = 1.92 states/eV/f.u.
# space-group type = Cm, No. 8

# 12
# MgH4Ir (PBE, optimized geometry)
data_MgH4Ir
_space_group_name_H-M_alt 'P 1'
_space_group_IT_number 1
_space_group_name_Hall 'P 1'
_cell_length_a 3.367
_cell_length_b 5.342
_cell_length_c 3.590
_cell_angle_alpha 70.74
_cell_angle_beta 89.99
_cell_angle_gamma 108.31
loop_
_atom_site_label
_atom_site_type_symbol
_atom_site_fract_x
_atom_site_fract_y
_atom_site_fract_z
H1 H 0.275 0.172 0.590
H2 H 0.899 0.424 0.470
H3 H 0.754 0.132 0.110
H4 H 0.549 0.719 0.813
Ir1 Ir 0.726 0.074 0.638
Mg1 Mg 0.095 0.813 0.265
# mass density = 6.37 g/cm³
# N(E_F) = 1.12 states/eV/f.u.
# space-group type = Cm, No. 8

In eV/atom, the VASP energy values for the records above are, in order, -4.11, -5.80, -4.94, -4.89, -3.93, -3.87, -6.22, -4.39, -3.89, -4.94, -4.94, -4.18.